(1)
{"formula": "Ca2Pm", "functional": "PBE", "state": "relaxed", "cell": [[-1.870, 1.870, 8.295], [1.870, -1.870, 8.295], [1.870, 1.870, -8.295]], "species": ["Ca", "Ca", "Pm"], "frac_coords": [[0.161, 0.161, 0.000], [0.839, 0.839, 0.000], [0.500, 0.500, 0.000]], "ef_kcal_per_mol_atoms": 2.03, "magmom_total_mub_per_fu": 0.00, "polymorph_energy_mev_per_atom": 0.0, "total_energy_ev_per_atom": -2.830}

***

(2)
{"formula": "MgTlRe", "functional": "PBE", "state": "relaxed", "cell": [[-1.459, 1.459, 6.879], [1.459, -1.459, 6.879], [1.459, 1.459, -6.879]], "species": ["Mg", "Tl", "Re"], "frac_coords": [[0.000, 0.000, 0.000], [0.308, 0.308, 0.000], [0.641, 0.641, 0.000]], "ef_kcal_per_mol_atoms": 15.58, "magmom_total_mub_per_fu": 0.00, "polymorph_energy_mev_per_atom": 10.5, "total_energy_ev_per_atom": -4.794}

***

(3)
{"formula": "AlZnIr", "functional": "PBE", "state": "relaxed", "cell": [[0.000, 2.900, 2.900], [2.900, 0.000, 2.900], [2.900, 2.900, 0.000]], "species": ["Al", "Zn", "Ir"], "frac_coords": [[0.000, 0.000, 0.000], [0.750, 0.750, 0.750], [0.250, 0.250, 0.250]], "ef_kcal_per_mol_atoms": -4.44, "magmom_total_mub_per_fu": 0.00, "total_energy_ev_per_atom": -4.818}